Computed, not measured: a relaxed MgCrN2O crystal at the PBE with a Hubbard U level of DFT.

It has space group P4/mmm (No. 123), with a = 3.6455 Å, b = 3.6455 Å, c = 3.9059 Å, α = 90.00°, β = 90.00° and γ = 90.00°. The inequivalent atoms are Mg at (0.0000, 0.0000, 0.0000), Cr at (0.5000, 0.5000, 0.5000), N at (0.0000, 0.5000, 0.5000) and O at (0.5000, 0.5000, 0.0000).

As for the crystal system: tetragonal. Its total energy is -30.50 eV per formula unit. The calculation puts the density of states at the Fermi level at 0.262 states/eV per atom. The volume is 10.4 A^3/atom. The total magnetization is 0.0 μB per formula unit.